# 1
Compound: La2PrDy
Source: the Alexandria database
Functional: PBE
Structure: relaxed

a b c (Å): 3.697 3.697 12.129
angles (deg): 81.23 81.23 60.00
Fractional positions:
Dy (0.000, 0.000, 0.000)
La (0.748, 0.748, 0.756)
La (0.252, 0.252, 0.244)
Pr (0.500, 0.500, 0.500)

Results
* E above lowest polymorph: 0.006 eV/f.u.
* total magnetic moment: 0.000 μB/cell

---

# 2
Compound: La4Pr2Dy
Source: the Alexandria database
Functional: PBE
Structure: relaxed

a b c (Å): 8.253 6.414 9.808
angles (deg): 89.81 90.03 104.77
Fractional positions:
Pr (0.625, 0.482, 0.286)
Pr (0.412, 0.910, 0.215)
Pr (0.125, 0.482, 0.785)
Pr (0.694, 0.338, 0.644)
La (0.556, 0.626, 0.928)
La (0.342, 0.053, 0.856)
La (0.839, 0.055, 0.357)
La (0.194, 0.337, 0.142)
La (0.908, 0.912, 0.715)
La (0.269, 0.196, 0.500)
La (0.980, 0.768, 0.071)
La (0.055, 0.626, 0.430)
Dy (0.767, 0.198, 0.001)
Dy (0.483, 0.767, 0.571)

Results
* E above lowest polymorph: 0.000 eV/f.u.
* total magnetic moment: 0.000 μB/cell

---

Number 2 is which compound?
La4Pr2Dy

---

Which of these has the lowest E above lowest polymorph?
La4Pr2Dy

---

The lowest E above lowest polymorph belongs to which entry?
La4Pr2Dy

---

Look up the total magnetic moment of the first one.
0.000 μB/cell